Entry 1:
A plane-wave DFT calculation with GGA-PBE was carried out for a relaxed structure of LaSc2AlAu4.

a b c (Å): 4.6849 4.6849 9.4017
angles (deg): 75.57 75.57 60.00
With the nearest neighbours (Å) after each atom.
Fractional coordinates of all 8 atoms:
Sc1 0.2356 0.2356 0.2933  7 Au 2.81-2.95
Au1 0.8736 0.8736 0.3791  4 Sc 2.81-2.95, 3 Al 2.92
Al1 0.5000 0.5000 0.5000  8 Au 2.72-2.92
La1 0.0000 0.0000 0.0000  8 Au 3.24-3.41
Au2 0.1264 0.1264 0.6209  4 Sc 2.81-2.95, 3 Al 2.92
Au3 0.3993 0.3993 0.8020  1 Al 2.72, 3 Sc 2.84
Au4 0.6007 0.6007 0.1980  1 Al 2.72, 3 Sc 2.84
Sc2 0.7644 0.7644 0.7067  7 Au 2.81-2.95

Values from the calculation:
For the density of states at the Fermi level, the calculation gives 0.564 states/eV/atom. The formation energy is -0.72 eV/atom. The total magnetization is 0.0 μB/cell. As for the final energy: -5.027 eV per atom.

Entry 2:
A plane-wave DFT calculation with GGA-PBE was carried out for a relaxed structure of CsCa3Mo.

a b c (Å): 5.6316 5.6316 5.6316
angles (deg): 90.00 90.00 90.00
With the nearest neighbours (Å) after each atom.
Fractional coordinates of all 5 atoms:
Mo1 0.5000 0.5000 0.5000  12 Ca 3.98
Cs1 0.0000 0.0000 0.0000  6 Ca 2.82
Ca1 0.5000 0.0000 0.0000  2 Cs 2.82
Ca2 0.0000 0.0000 0.5000  2 Cs 2.82
Ca3 0.0000 0.5000 0.0000  2 Cs 2.82

Values from the calculation:
For the density of states at the Fermi level, the calculation gives 2.367 states/eV/atom. The formation energy is 2.02 eV/atom. The total magnetization is 0.0 μB/cell. As for the final energy: -1.519 eV per atom.

Entry 3:
A plane-wave DFT calculation with GGA-PBE was carried out for a relaxed structure of Pm7DyTm12.

a b c (Å): 9.6771 9.6771 9.6771
angles (deg): 109.47 109.47 109.47
With the nearest neighbours (Å) after each atom.
Fractional coordinates of all 20 atoms:
Tm1 0.0002 0.7533 0.2469  2 Pm 2.79
Tm2 0.2467 0.2469 0.4936  2 Pm 2.79
Pm1 0.0000 0.5000 0.0000  6 Tm 2.79
Pm2 0.0000 0.0000 0.5000  6 Tm 2.79
Tm3 0.7531 0.5064 0.7533  2 Pm 2.79
Pm3 0.5000 0.5000 0.5000  6 Tm 2.79
Dy1 0.0000 0.0000 0.0000  12 Tm 3.90
Tm4 0.4936 0.2467 0.2469  2 Pm 2.79
Tm5 0.7533 0.7531 0.5064  2 Pm 2.79
Tm6 0.7531 0.9998 0.2467  2 Pm 2.79
Pm4 0.5000 0.0000 0.0000  6 Tm 2.79
Pm5 0.5000 0.5000 0.0000  12 Tm 3.95-4.00
Tm7 0.2467 0.7531 0.9998  2 Pm 2.79
Tm8 0.5064 0.7533 0.7531  2 Pm 2.79
Tm9 0.2469 0.4936 0.2467  2 Pm 2.79
Pm6 0.5000 0.0000 0.5000  12 Tm 3.95-4.00
Tm10 0.7533 0.2469 0.0002  2 Pm 2.79
Pm7 0.0000 0.5000 0.5000  12 Tm 3.95-4.00
Tm11 0.9998 0.2467 0.7531  2 Pm 2.79
Tm12 0.2469 0.0002 0.7533  2 Pm 2.79

Values from the calculation:
The calculation puts the offset from the most stable computed form at 440 meV/atom. For the density of states at the Fermi level, the calculation gives 1.391 states/eV/atom. The formation energy is 0.67 eV/atom. The total magnetization is 0.0 μB/cell. As for the final energy: -3.903 eV per atom.